Density functional theory data (PBE) for a relaxed structure of KNiTeW2.

Calculated values
E, eV per atom: -3.9753
Crystal system: tetragonal
Uncorrected formation energy, eV per formula unit: 16.1

abc: 4.867 4.867 4.240
angles: 90.00 90.00 90.00
Space group P4/mmm (No. 123)
Inequivalent atoms, fractional coordinates:
K: 0.000 0.000 0.000
Ni: 0.000 0.000 0.500
Te: 0.500 0.500 0.500
W: 0.000 0.500 0.000